#A
A PBEsol-optimized structure of DyP3O9. Source: Alexandria, functional SCAN.

Values from the calculation:
The calculation puts the total magnetization at 0.000 μB per atom. The volume is 14.44 Å³ per atom. For the density of states at the Fermi level, the calculation gives 0.000 states/eV/atom.

```
52
Lattice="6.997 0.000 0.002 0.000 9.717 0.000 -0.351 0.000 11.040" Properties=species:S:1:pos:R:3 pbc="T T T"
Dy 1.307 2.429 0.203
Dy 2.098 2.429 5.927
Dy 4.549 7.288 5.115
Dy 5.340 7.288 10.839
P 1.118 4.523 3.131
P 1.118 0.336 3.131
P 1.167 7.288 4.117
P 1.370 4.754 8.473
P 1.370 0.105 8.473
P 1.947 7.288 9.886
P 4.700 2.429 1.156
P 5.277 9.612 2.569
P 5.277 4.963 2.569
P 5.480 2.429 6.924
P 5.529 9.381 7.911
P 5.529 5.194 7.911
O -0.125 2.429 6.374
O 0.113 9.224 7.670
O 0.113 5.352 7.670
O 0.545 7.288 10.410
O 0.902 4.029 9.699
O 0.902 0.829 9.699
O 1.345 8.476 3.053
O 1.345 6.099 3.053
O 1.488 0.884 1.793
O 1.488 3.974 1.793
O 1.765 3.956 4.353
O 1.765 0.903 4.353
O 2.172 8.505 8.862
O 2.172 6.070 8.862
O 2.219 4.013 7.492
O 2.219 0.845 7.492
O 2.316 7.288 5.079
O 3.094 7.288 10.844
O 3.553 2.429 0.198
O 4.331 2.429 5.962
O 4.428 8.872 3.550
O 4.428 5.703 3.550
O 4.475 3.646 2.180
O 4.475 1.212 2.180
O 4.881 8.814 6.688
O 4.881 5.761 6.688
O 5.159 8.832 9.248
O 5.159 5.743 9.248
O 5.302 3.618 7.989
O 5.302 1.241 7.989
O 5.745 8.888 1.343
O 5.745 5.688 1.343
O 6.102 2.429 0.632
O 6.534 4.365 3.371
O 6.534 0.493 3.371
O 6.772 7.288 4.668
```

***

#B
A PBEsol-optimized structure of DyP3O9. Source: Alexandria, functional SCAN.

Values from the calculation:
The calculation puts the total magnetization at 0.000 μB per atom. The volume is 14.83 Å³ per atom. For the density of states at the Fermi level, the calculation gives 0.000 states/eV/atom.

```
26
Lattice="-4.137 -3.786 -3.768 -3.328 -6.095 3.720 -8.420 2.191 0.985" Properties=species:S:1:pos:R:3 pbc="T T T"
Dy -7.459 -6.388 -0.342
Dy -8.069 -0.473 0.054
P -7.367 -3.266 -2.008
P -2.980 -3.759 0.024
P -4.396 -3.601 -2.580
P -12.378 -4.428 1.131
P -8.193 -5.107 2.979
P -11.014 -6.234 -0.905
O -11.300 -5.095 0.164
O -7.398 -1.827 -1.596
O -4.192 0.274 0.519
O -4.189 -3.479 -0.992
O -12.485 -5.228 2.387
O -5.235 -6.321 -0.577
O -3.232 -2.923 1.230
O -7.161 -1.900 1.501
O -7.703 -4.276 -0.960
O -12.296 -2.724 -2.087
O -10.079 -1.439 0.315
O -9.654 -5.376 3.084
O -7.241 -8.446 0.477
O -7.477 -5.531 1.734
O -5.980 -3.649 -2.693
O -9.646 -6.773 -0.625
O -7.993 -3.537 3.246
O -11.603 -3.084 1.472
```

***

Stability, highest: #A

***

#A
A PBEsol-optimized structure of Rb3DyO3. Source: Alexandria, functional SCAN.

Values from the calculation:
The calculation puts the total magnetization at 0.014 μB per atom. The volume is 23.37 Å³ per atom. For the density of states at the Fermi level, the calculation gives 0.000 states/eV/atom.

```
28
Lattice="-3.733 6.246 0.348 -6.484 -3.779 -1.725 -1.393 -1.475 11.507" Properties=species:S:1:pos:R:3 pbc="T T T"
Rb -3.493 -0.971 4.291
Rb -9.727 1.468 2.609
Rb -5.488 2.453 3.164
Rb -5.019 -1.404 1.176
Rb -2.113 1.812 1.855
Rb -6.746 1.571 0.024
Rb -4.864 -0.579 10.107
Rb -9.497 -0.819 8.276
Rb -6.592 2.397 8.955
Rb -6.123 -1.460 6.967
Rb -1.884 -0.475 7.522
Rb -8.118 1.963 5.840
Dy -7.562 -1.258 3.633
Dy -4.529 4.958 0.854
Dy -7.081 -3.965 9.277
Dy -4.049 2.251 6.497
O -5.945 -2.580 3.919
O -3.014 1.775 4.640
O -7.020 0.385 2.462
O -2.439 -1.088 1.779
O -9.403 2.471 -0.123
O -4.150 2.939 0.382
O -7.461 -1.946 9.749
O -2.208 -1.478 10.254
O -9.171 2.081 8.352
O -4.590 0.608 7.669
O -8.596 -0.782 5.491
O -5.666 3.572 6.212
```

***

#B
A PBEsol-optimized structure of Rb3DyO3. Source: Alexandria, functional SCAN.

Values from the calculation:
The calculation puts the total magnetization at 0.015 μB per atom. The volume is 23.44 Å³ per atom. For the density of states at the Fermi level, the calculation gives 0.000 states/eV/atom.

```
14
Lattice="7.151 0.001 0.001 -0.594 7.174 0.004 -0.594 -3.251 6.395" Properties=species:S:1:pos:R:3 pbc="T T T"
Rb 1.826 2.512 4.097
Rb 2.981 5.026 1.322
Rb 2.981 -1.102 5.078
Rb -0.594 -0.567 4.750
Rb -0.594 4.490 1.649
Rb 4.137 1.412 2.303
Dy 5.118 3.213 5.242
Dy 0.844 0.710 1.159
O 0.067 3.527 5.753
O 4.416 1.234 5.303
O 4.416 4.166 3.505
O 1.546 2.690 1.098
O 1.546 -0.242 2.895
O 5.896 0.397 0.648
```

***

Stability, highest: #A

***

#A
A PBEsol-optimized structure of Dy2Se3O12. Source: Alexandria, functional SCAN.

Values from the calculation:
The calculation puts the total magnetization at 0.000 μB per atom. The volume is 12.48 Å³ per atom. For the density of states at the Fermi level, the calculation gives 0.000 states/eV/atom.

```
34
Lattice="6.701 0.033 -0.008 -3.032 5.976 -0.008 -1.829 -2.995 10.582" Properties=species:S:1:pos:R:3 pbc="T T T"
Dy 3.521 3.033 4.301
Dy 0.175 3.020 9.592
Dy 1.665 -0.007 0.975
Dy -1.681 -0.019 6.267
Se 3.549 2.958 0.796
Se 0.096 3.011 6.087
Se 5.100 -0.018 2.638
Se -3.261 3.031 7.929
Se 1.744 0.002 4.480
Se -1.710 0.055 9.772
O -0.159 0.634 2.239
O 4.390 2.873 2.228
O 4.101 0.122 1.278
O 3.480 4.621 0.445
O -0.278 -1.350 7.531
O 1.710 1.631 4.160
O -0.914 3.245 4.804
O -0.550 3.842 0.472
O 2.085 2.245 1.117
O -0.365 3.720 7.519
O 0.234 -0.696 4.831
O 4.519 0.807 3.998
O -2.679 2.206 6.569
O 1.606 3.710 5.736
O 2.204 -0.707 3.048
O -0.245 0.768 9.451
O 2.389 -0.829 10.095
O 2.754 -0.232 5.763
O 0.130 1.382 6.408
O 2.118 4.363 3.037
O -1.641 -1.608 10.122
O -2.261 2.891 9.289
O -2.550 0.140 8.339
O 1.999 2.379 8.328
```

***

#B
A PBEsol-optimized structure of Dy2Se3O12. Source: Alexandria, functional SCAN.

Values from the calculation:
The calculation puts the total magnetization at 0.000 μB per atom. The volume is 18.12 Å³ per atom. For the density of states at the Fermi level, the calculation gives 0.000 states/eV/atom.

```
68
Lattice="9.612 0.000 0.000 0.000 9.691 0.000 0.000 0.000 13.224" Properties=species:S:1:pos:R:3 pbc="T T T"
Dy 2.405 9.326 1.569
Dy 7.207 4.480 1.569
Dy 2.401 4.480 5.043
Dy 7.211 9.326 5.043
Dy 2.401 0.365 8.181
Dy 7.211 5.211 8.181
Dy 2.405 5.211 11.655
Dy 7.207 0.365 11.655
Se 0.289 2.423 0.000
Se 9.322 7.268 0.000
Se 3.808 5.973 1.939
Se 5.804 1.128 1.939
Se 0.998 1.128 4.673
Se 8.614 5.973 4.673
Se 4.516 7.268 6.612
Se 5.095 2.423 6.612
Se 0.998 3.718 8.551
Se 8.614 8.564 8.551
Se 3.808 8.564 11.285
Se 5.804 3.718 11.285
O 6.388 0.821 0.425
O 3.224 5.666 0.425
O 8.363 6.174 0.773
O 1.249 1.329 0.773
O 0.649 8.019 1.133
O 8.963 3.174 1.133
O 4.163 0.940 1.954
O 5.449 5.785 1.954
O 3.455 7.526 2.380
O 6.156 2.681 2.380
O 3.119 4.902 2.991
O 6.493 0.057 2.991
O 1.687 0.057 3.621
O 7.925 4.902 3.621
O 8.261 7.526 4.232
O 1.350 2.681 4.232
O 0.643 5.785 4.658
O 8.969 0.940 4.658
O 4.157 3.174 5.479
O 5.455 8.019 5.479
O 3.557 6.174 5.839
O 6.055 1.329 5.839
O 1.582 0.821 6.188
O 8.030 5.666 6.188
O 1.582 4.025 7.037
O 8.030 8.871 7.037
O 6.055 3.517 7.385
O 3.557 8.363 7.385
O 4.157 1.672 7.746
O 5.455 6.518 7.746
O 0.643 8.752 8.567
O 8.969 3.906 8.567
O 1.350 2.165 8.992
O 8.261 7.010 8.992
O 1.687 4.789 9.603
O 7.925 9.634 9.603
O 3.119 9.634 10.234
O 6.493 4.789 10.234
O 3.455 7.010 10.845
O 6.156 2.165 10.845
O 4.163 3.906 11.270
O 5.449 8.752 11.270
O 0.649 6.518 12.091
O 8.963 1.672 12.091
O 1.249 3.517 12.451
O 8.363 8.363 12.451
O 3.224 8.871 12.800
O 6.388 4.025 12.800
```

***

Stability, highest: #B

***

#A
A PBEsol-optimized structure of Pm3Dy. Source: Alexandria, functional SCAN.

Values from the calculation:
The calculation puts the total magnetization at 0.000 μB per atom. The volume is 31.67 Å³ per atom. For the density of states at the Fermi level, the calculation gives 1.553 states/eV/atom.

```
8
Lattice="-3.514 1.764 4.161 -1.227 -6.796 1.846 5.384 3.607 3.017" Properties=species:S:1:pos:R:3 pbc="T T T"
Pm 2.790 -1.082 4.783
Pm 0.714 0.511 2.355
Pm 3.402 2.312 3.862
Pm -2.146 -0.343 4.240
Pm -0.070 -1.936 6.668
Pm -2.759 -3.737 5.162
Dy 0.545 1.462 5.747
Dy 0.098 -2.887 3.276
```

***

#B
A PBEsol-optimized structure of Pm3Dy. Source: Alexandria, functional SCAN.

Values from the calculation:
The calculation puts the total magnetization at 0.001 μB per atom. The volume is 31.37 Å³ per atom. For the density of states at the Fermi level, the calculation gives 1.267 states/eV/atom.

```
4
Lattice="-4.730 -0.197 -1.629 0.882 -4.496 -2.017 -1.384 -2.193 4.283" Properties=species:S:1:pos:R:3 pbc="T T T"
Dy 0.000 0.000 0.000
Pm -0.251 -3.345 1.133
Pm -3.057 -1.195 1.327
Pm -1.924 -2.347 -1.823
```

***

Stability, highest: #B

***

#A
A PBEsol-optimized structure of Sm3Dy. Source: Alexandria, functional SCAN.

Values from the calculation:
The calculation puts the total magnetization at 0.001 μB per atom. The volume is 30.94 Å³ per atom. For the density of states at the Fermi level, the calculation gives 1.228 states/eV/atom.

```
4
Lattice="-4.918 -0.756 -0.278 0.164 -2.623 4.234 -0.788 4.169 2.613" Properties=species:S:1:pos:R:3 pbc="T T T"
Sm -0.312 0.773 3.424
Sm -2.853 1.707 1.168
Sm -2.377 -1.689 1.978
Dy 0.000 0.000 0.000
```

***

#B
A PBEsol-optimized structure of Sm3Dy. Source: Alexandria, functional SCAN.

Values from the calculation:
The calculation puts the total magnetization at 0.000 μB per atom. The volume is 31.24 Å³ per atom. For the density of states at the Fermi level, the calculation gives 1.576 states/eV/atom.

```
8
Lattice="5.681 0.000 0.000 0.000 7.127 0.000 0.000 -3.564 6.172" Properties=species:S:1:pos:R:3 pbc="T T T"
Sm 1.420 1.781 5.143
Sm 1.420 0.000 2.058
Sm 1.420 -1.781 5.143
Sm 4.261 1.783 1.029
Sm 4.261 3.564 4.114
Sm 4.261 5.345 1.029
Dy 4.261 0.000 4.115
Dy 1.420 3.564 2.057
```

***

Stability, highest: #A

***

#A
A PBEsol-optimized structure of Er2MgS4. Source: Alexandria, functional SCAN.

Values from the calculation:
The calculation puts the total magnetization at 0.000 μB per atom. The volume is 20.57 Å³ per atom. For the density of states at the Fermi level, the calculation gives 0.000 states/eV/atom.

```
14
Lattice="-0.778 0.344 3.613 3.177 -5.535 -0.696 10.932 6.052 1.778" Properties=species:S:1:pos:R:3 pbc="T T T"
Er 8.862 3.642 3.468
Er 5.241 -2.355 1.352
Er 7.997 -0.168 3.644
Er 1.686 -0.992 0.457
Mg 12.053 1.873 4.323
Mg 5.577 1.366 1.071
S 8.140 1.601 1.600
S 2.728 -2.105 2.694
S 10.563 6.020 3.608
S 8.101 -2.208 1.954
S 11.123 2.856 2.123
S 5.391 -0.234 3.089
S 10.581 -0.174 4.201
S 3.110 1.233 0.552
```

***

#B
A PBEsol-optimized structure of Er2MgS4. Source: Alexandria, functional SCAN.

Values from the calculation:
The calculation puts the total magnetization at 0.000 μB per atom. The volume is 23.56 Å³ per atom. For the density of states at the Fermi level, the calculation gives 0.000 states/eV/atom.

```
14
Lattice="7.756 0.000 0.000 3.878 6.716 0.000 3.878 2.239 6.332" Properties=species:S:1:pos:R:3 pbc="T T T"
Er 7.756 4.478 0.792
Er 7.756 2.239 3.958
Er 9.694 5.597 3.958
Er 5.817 5.597 3.958
Mg 0.000 0.000 0.000
Mg 3.878 2.239 1.583
S 9.611 3.406 2.409
S 5.900 3.406 2.409
S 7.756 4.478 5.439
S 7.756 6.620 2.409
S 11.633 4.574 5.507
S 11.633 6.716 2.477
S 13.489 7.788 5.507
S 9.778 7.788 5.507
```

***

Stability, highest: #B

***

#A
A PBEsol-optimized structure of Er2MgSe4. Source: Alexandria, functional SCAN.

Values from the calculation:
The calculation puts the total magnetization at 0.000 μB per atom. The volume is 24.77 Å³ per atom. For the density of states at the Fermi level, the calculation gives 0.000 states/eV/atom.

```
28
Lattice="-1.967 0.529 -3.365 10.620 -3.072 -6.689 -3.725 -13.126 0.114" Properties=species:S:1:pos:R:3 pbc="T T T"
Er 1.044 -6.356 -5.057
Er 3.884 -9.313 -4.883
Er -2.723 -12.348 -1.498
Er 7.652 -3.321 -8.442
Er -0.666 -11.170 -4.814
Er 5.595 -4.499 -5.126
Er -0.072 -4.220 -1.771
Er 5.001 -11.449 -8.170
Mg 3.404 -1.748 -3.413
Mg 1.525 -13.922 -6.527
Mg -2.318 -7.214 -3.227
Mg 7.246 -8.455 -6.713
Se 1.399 -12.949 -4.002
Se 3.530 -2.720 -5.939
Se -2.767 -4.662 -2.564
Se 7.696 -11.007 -7.377
Se 1.195 -9.169 -5.587
Se 3.734 -6.501 -4.353
Se -0.601 -1.527 -1.038
Se 5.529 -14.142 -8.902
Se 0.584 -3.697 -4.371
Se 4.345 -11.972 -5.570
Se -0.938 -10.339 -2.226
Se 5.867 -5.331 -7.714
Se 0.282 -6.998 -2.414
Se 4.647 -8.672 -7.527
Se -2.423 -13.337 -4.128
Se 7.352 -2.332 -5.812
```

***

#B
A PBEsol-optimized structure of Er2MgSe4. Source: Alexandria, functional SCAN.

Values from the calculation:
The calculation puts the total magnetization at 0.000 μB per atom. The volume is 26.90 Å³ per atom. For the density of states at the Fermi level, the calculation gives 0.000 states/eV/atom.

```
14
Lattice="8.105 0.000 0.000 4.053 7.020 0.000 4.053 2.340 6.618" Properties=species:S:1:pos:R:3 pbc="T T T"
Er 8.105 4.680 0.827
Er 10.132 5.850 4.136
Er 8.105 2.340 4.136
Er 6.079 5.850 4.136
Mg 4.053 2.340 1.655
Mg 0.000 0.000 0.000
Se 8.105 4.680 5.687
Se 6.164 3.559 2.516
Se 8.105 6.922 2.516
Se 10.047 3.559 2.516
Se 14.100 8.141 5.756
Se 12.158 7.020 2.586
Se 12.158 4.778 5.756
Se 10.217 8.141 5.756
```

***

Stability, highest: #B